1.
# LaTm6Sc3

A relaxed LaTm6Sc3 crystal (PBE, Alexandria via LeMat-Bulk).

## Properties
* space-group type: No. 36
* energy of formation: 1.27 eV per formula unit

The structure in POSCAR format:
```
LaTm6Sc3
1.0
6.208 0.000 0.000
0.000 10.788 -2.616
0.000 -4.958 9.932
La Tm Sc
2 12 6
Direct
0.006 0.161 0.839
0.506 0.839 0.161
0.081 0.734 0.624
0.581 0.624 0.734
0.332 0.460 0.895
0.832 0.895 0.460
0.288 0.985 0.015
0.790 0.304 0.696
0.290 0.696 0.304
0.788 0.015 0.985
0.332 0.105 0.540
0.832 0.540 0.105
0.081 0.376 0.266
0.581 0.266 0.376
0.483 0.955 0.703
0.983 0.703 0.955
0.108 0.415 0.585
0.608 0.585 0.415
0.983 0.045 0.297
0.483 0.297 0.045
```

=====

2.
# CoIr2Pt

A relaxed CoIr2Pt crystal (PBE, Alexandria via LeMat-Bulk).

## Properties
* space-group type: No. 47
* energy above the lowest structure with this stoichiometry: 24.3 kJ/mol of atoms
* energy of formation: 1.03 eV per formula unit

The structure in POSCAR format:
```
CoIr2Pt
1.0
2.692 0.000 0.000
0.000 4.652 0.000
0.000 0.000 4.627
Co Ir Pt
1 2 1
Direct
0.000 0.500 0.500
0.000 0.000 0.000
0.500 0.500 0.000
0.500 0.000 0.500
```

=====

3.
# BiTeMo3

A relaxed BiTeMo3 crystal (PBE, Alexandria via LeMat-Bulk).

## Properties
* space-group type: No. 221
* energy above the lowest structure with this stoichiometry: 0.0 kJ/mol of atoms
* formation energy (no corrections): 1.6714 eV/atom

The structure in POSCAR format:
```
BiTeMo3
1.0
-4.234 -0.614 2.510
1.957 -3.909 2.344
1.688 2.991 3.579
Mo Te Bi
3 1 1
Direct
0.000 0.500 0.000
0.000 0.000 0.500
0.500 0.000 0.000
0.000 0.000 0.000
0.500 0.500 0.500
```

=====

4.
# K9Eu3Si12O32F2

A relaxed K9Eu3Si12O32F2 crystal (PBE, Alexandria via LeMat-Bulk).

## Properties
* space-group type: No. 2
* formation energy (no corrections): -2.6822 eV/atom

The structure in POSCAR format:
```
K9Eu3Si12O32F2
1.0
-3.940 -5.663 1.141
10.566 -4.573 1.385
-0.763 2.751 11.291
K Eu Si O F
9 3 12 32 2
Direct
0.015 0.670 0.509
0.271 0.383 0.018
0.165 0.149 0.212
0.172 0.191 0.778
0.729 0.617 0.982
0.985 0.330 0.491
0.835 0.851 0.788
0.500 0.000 0.000
0.828 0.809 0.222
0.486 0.510 0.335
0.514 0.490 0.665
0.000 0.000 0.500
0.662 0.135 0.690
0.338 0.865 0.310
0.448 0.230 0.489
0.309 0.696 0.843
0.655 0.091 0.303
0.552 0.770 0.511
0.984 0.513 0.257
0.691 0.304 0.157
0.284 0.668 0.119
0.716 0.332 0.881
0.345 0.909 0.697
0.016 0.487 0.743
0.543 0.397 0.842
0.474 0.373 0.485
0.291 0.691 0.982
0.066 0.586 0.140
0.840 0.032 0.330
0.309 0.836 0.817
0.493 0.797 0.376
0.843 0.491 0.653
0.691 0.164 0.183
0.286 0.798 0.184
0.157 0.509 0.347
0.502 0.350 0.207
0.709 0.309 0.018
0.498 0.650 0.793
0.813 0.574 0.313
0.454 0.996 0.274
0.614 0.184 0.406
0.457 0.603 0.158
0.934 0.414 0.860
0.099 0.624 0.790
0.769 0.836 0.543
0.187 0.426 0.687
0.714 0.202 0.816
0.507 0.203 0.624
0.546 0.004 0.726
0.160 0.968 0.670
0.857 0.127 0.620
0.386 0.816 0.594
0.901 0.376 0.210
0.143 0.873 0.380
0.526 0.627 0.515
0.231 0.164 0.457
0.755 0.845 0.005
0.245 0.155 0.995
```

=====

5.
# Al3OsRu

A relaxed Al3OsRu crystal (PBE, Alexandria via LeMat-Bulk).

## Properties
* space-group type: No. 221
* energy above the lowest structure with this stoichiometry: 0.0 kJ/mol of atoms
* energy of formation: 3.15 eV per formula unit

The structure in POSCAR format:
```
Al3OsRu
1.0
-3.535 -2.963 0.365
2.919 -3.549 -0.542
0.627 -0.184 4.580
Ru Os Al
1 1 3
Direct
0.500 0.500 0.500
0.000 0.000 0.000
0.000 0.500 0.000
0.000 0.000 0.500
0.500 0.000 0.000
```

=====

6.
# ScSn2AuBr

A relaxed ScSn2AuBr crystal (PBE, Alexandria via LeMat-Bulk).

## Properties
* space-group type: No. 123
* formation energy (no corrections): 0.5893 eV/atom

The structure in POSCAR format:
```
ScSn2AuBr
1.0
5.550 0.000 0.000
0.000 4.973 0.000
0.000 0.000 5.550
Sc Au Sn Br
1 1 2 1
Direct
0.500 0.500 0.500
0.000 0.500 0.000
0.000 0.000 0.500
0.500 0.000 0.000
0.000 0.000 0.000
```

=====

7.
# BeNi3Os

A relaxed BeNi3Os crystal (PBE, Alexandria via LeMat-Bulk).

## Properties
* space-group type: No. 221
* energy above the lowest structure with this stoichiometry: 0.0 kJ/mol of atoms
* energy of formation: 2.92 eV per formula unit

The structure in POSCAR format:
```
BeNi3Os
1.0
3.848 0.000 0.000
0.000 3.848 0.000
0.000 0.000 3.848
Ni Os Be
3 1 1
Direct
0.000 0.500 0.000
0.000 0.000 0.500
0.500 0.000 0.000
0.500 0.500 0.500
0.000 0.000 0.000
```

=====

8.
# Zr2ScAgO

A relaxed Zr2ScAgO crystal (PBE, Alexandria via LeMat-Bulk).

## Properties
* space-group type: No. 123
* formation energy (no corrections): -1.1343 eV/atom

The structure in POSCAR format:
```
Zr2ScAgO
1.0
-1.388 -2.375 3.535
4.234 -1.168 0.878
0.449 3.557 2.567
Sc O Zr Ag
1 1 2 1
Direct
0.000 0.000 0.500
0.000 0.000 0.000
0.000 0.500 0.000
0.500 0.000 0.000
0.500 0.500 0.500
```